A plane-wave DFT calculation with PBE was carried out for a geometry-optimized ReSn3Sb structure.

a = 5.6255 Å, b = 5.6255 Å, c = 5.6255 Å
α = 90.00°, β = 90.00°, γ = 90.00°
Space group Pm-3m (No. 221)
Unique sites:
1 Re 0.0000 0.0000 0.0000 x1
2 Sn 0.0000 0.5000 0.5000 x3
3 Sb 0.5000 0.5000 0.5000 x1

Calculated values
Distance to the lowest polymorph of the same formula = 1324.4 meV/atom
Crystal system = cubic
Electronic total energy = -19.6 eV for the cell shown
Total magnetization = 3.94 Bohr magnetons per cell
DOS at the Fermi energy = 4.88 states/eV/f.u.
Energy relative to the elements, uncorrected = 8.95 eV per formula unit